Entry 1:
Material: PrScS2
Method: DFT, PBE
State: optimized geometry

a = 6.9140 Å, b = 3.9860 Å, c = 7.0286 Å
α = 90.00°, β = 96.30°, γ = 90.00°
Last column: nearest neighbours and their distance in Å.
Sites, in units of the cell vectors:
Pr 0.0000 0.0000 0.0000  6 S 2.90-2.92
Pr 0.0000 0.5000 0.5000  6 S 2.89-2.94
Sc 0.4006 0.0000 0.7073  4 S 2.49-2.53
Sc 0.5994 0.0000 0.2927  4 S 2.49-2.53
S 0.2532 0.0000 0.3614  2 Sc 2.49-2.53
S 0.2565 0.5000 0.8619  2 Sc 2.53
S 0.7435 0.5000 0.1381  2 Sc 2.53
S 0.7468 0.0000 0.6386  2 Sc 2.49-2.53

Its space group is No. 10. For the uncorrected formation energy, the calculation gives -1745 meV/atom.


Entry 2:
Material: K2LiZn3As4
Method: DFT, PBE
State: optimized geometry

a = 4.4902 Å, b = 4.4902 Å, c = 10.6248 Å
α = 90.00°, β = 90.00°, γ = 90.00°
Last column: nearest neighbours and their distance in Å.
Sites, in units of the cell vectors:
K 0.0000 0.5000 0.2439  8 As 3.40-3.53, 6 Zn 3.42-3.43, 2 Li 3.43
K 0.5000 0.0000 0.7561  8 As 3.40-3.53, 6 Zn 3.42-3.43, 2 Li 3.43
Li 0.5000 0.5000 0.0000  4 As 2.63
Zn 0.0000 0.0000 0.0000  4 As 2.63
Zn 0.0000 0.5000 0.6371  5 As 2.48-2.68
Zn 0.5000 0.0000 0.3629  5 As 2.48-2.68
As 0.0000 0.0000 0.5000  4 Zn 2.68
As 0.0000 0.5000 0.8705  3 Zn 2.48-2.63, 2 Li 2.63
As 0.5000 0.0000 0.1295  3 Zn 2.48-2.63, 2 Li 2.63
As 0.5000 0.5000 0.5000  4 Zn 2.68

As for the formation enthalpy at 0 K: -0.3804 eV/atom. Its space group is No. 115.


Entry 3:
Material: SmSi2Pd4
Method: DFT, PBE
State: optimized geometry

a = 7.9221 Å, b = 7.9221 Å, c = 3.7571 Å
α = 90.00°, β = 90.00°, γ = 90.00°
Last column: nearest neighbours and their distance in Å.
Sites, in units of the cell vectors:
Sm 0.0000 0.0000 0.0000  6 Si 3.08-3.15, 8 Pd 3.23
Sm 0.5000 0.5000 0.5000  6 Si 3.08-3.15, 8 Pd 3.23
Si 0.2252 0.2252 0.5000  6 Pd 2.48-2.51
Si 0.2748 0.7252 0.0000  6 Pd 2.48-2.51
Si 0.7252 0.2748 0.0000  6 Pd 2.48-2.51
Si 0.7748 0.7748 0.5000  6 Pd 2.48-2.51
Pd 0.0767 0.6768 0.5000  3 Si 2.48-2.51, 1 Pd 2.76
Pd 0.1768 0.4233 0.0000  3 Si 2.48-2.51, 1 Pd 2.76
Pd 0.3232 0.9233 0.5000  3 Si 2.48-2.51, 1 Pd 2.76
Pd 0.4233 0.1768 0.0000  3 Si 2.48-2.51, 1 Pd 2.76
Pd 0.5767 0.8232 0.0000  3 Si 2.48-2.51, 1 Pd 2.76
Pd 0.6768 0.0767 0.5000  3 Si 2.48-2.51, 1 Pd 2.76
Pd 0.8232 0.5767 0.0000  3 Si 2.48-2.51, 1 Pd 2.76
Pd 0.9233 0.3232 0.5000  3 Si 2.48-2.51, 1 Pd 2.76

Its space group is No. 136. For the uncorrected formation energy, the calculation gives -826 meV/atom.


Entry 4:
Material: MnBiIN2
Method: DFT, PBE
State: optimized geometry

a = 4.2479 Å, b = 4.2479 Å, c = 6.7627 Å
α = 90.00°, β = 90.00°, γ = 90.00°
Last column: nearest neighbours and their distance in Å.
Sites, in units of the cell vectors:
Mn 0.0000 0.0000 0.0000  4 I 3.00
Bi 0.5000 0.5000 0.5000  4 N 2.12
I 0.5000 0.5000 0.0000  4 Mn 3.00
N 0.0000 0.5000 0.5000  2 Bi 2.12
N 0.5000 0.0000 0.5000  2 Bi 2.12

Its space group is No. 123. For the uncorrected formation energy, the calculation gives 1638 meV/atom.


Entry 5:
Material: Sc3CrGe
Method: DFT, PBE
State: optimized geometry

a = 5.0739 Å, b = 5.0739 Å, c = 5.0739 Å
α = 90.00°, β = 90.00°, γ = 90.00°
Last column: nearest neighbours and their distance in Å.
Sites, in units of the cell vectors:
Sc 0.0000 0.0000 0.5000  2 Ge 2.54
Sc 0.0000 0.5000 0.0000  2 Ge 2.54
Sc 0.5000 0.0000 0.0000  2 Ge 2.54
Cr 0.5000 0.5000 0.5000  12 Sc 3.59
Ge 0.0000 0.0000 0.0000  6 Sc 2.54

As for the formation enthalpy at 0 K: 0.3273 eV/atom. Its space group is No. 221.


Entry 6:
Material: Rb4H6C2O9
Method: DFT, PBE
State: optimized geometry

a = 9.3895 Å, b = 9.3895 Å, c = 7.6283 Å
α = 109.75°, β = 109.75°, γ = 95.13°
Last column: nearest neighbours and their distance in Å.
Sites, in units of the cell vectors:
Rb 0.1196 0.8804 0.7500  2 H 2.87, 8 O 2.95-3.13
Rb 0.1891 0.8109 0.2500  8 O 2.96-3.30, 2 H 2.96
Rb 0.2234 0.4909 0.4630  7 O 2.96-3.22, 3 H 2.97-3.08, 1 C 3.31
Rb 0.4909 0.2234 0.9630  7 O 2.96-3.22, 3 H 2.97-3.08, 1 C 3.31
Rb 0.5091 0.7766 0.0369  7 O 2.96-3.22, 3 H 2.97-3.08, 1 C 3.31
Rb 0.7766 0.5091 0.5370  7 O 2.96-3.22, 3 H 2.97-3.08, 1 C 3.31
Rb 0.8109 0.1891 0.7500  8 O 2.96-3.30, 2 H 2.96
Rb 0.8804 0.1196 0.2500  2 H 2.87, 8 O 2.95-3.13
H 0.1398 0.2760 0.0365  1 O 1.01
H 0.1469 0.2037 0.6208  1 O 1.00
H 0.2037 0.1469 0.1208  1 O 1.00
H 0.2760 0.1398 0.5365  1 O 1.01
H 0.3654 0.4996 0.1556  1 O 1.01
H 0.4996 0.3654 0.6556  1 O 1.01
H 0.5004 0.6346 0.3444  1 O 1.01
H 0.6346 0.5004 0.8444  1 O 1.01
H 0.7240 0.8602 0.4635  1 O 1.01
H 0.7963 0.8531 0.8792  1 O 1.00
H 0.8531 0.7963 0.3792  1 O 1.00
H 0.8602 0.7240 0.9635  1 O 1.01
C 0.1378 0.4700 0.8419  3 O 1.29-1.31
C 0.4700 0.1378 0.3419  3 O 1.29-1.31
C 0.5300 0.8622 0.6581  3 O 1.29-1.31
C 0.8622 0.5300 0.1581  3 O 1.29-1.31
O 0.0552 0.3551 0.6674  1 C 1.31
O 0.1093 0.1878 0.0732  2 H 1.00-1.01
O 0.1783 0.6082 0.8508  1 C 1.29
O 0.1793 0.4431 0.0083  1 C 1.31
O 0.1878 0.1093 0.5732  2 H 1.00-1.01
O 0.3551 0.0552 0.1674  1 C 1.31
O 0.3918 0.8217 0.6492  1 C 1.29
O 0.4431 0.1793 0.5083  1 C 1.31
O 0.4772 0.5228 0.2500  2 H 1.01
O 0.5228 0.4772 0.7500  2 H 1.01
O 0.5569 0.8207 0.4917  1 C 1.31
O 0.6082 0.1783 0.3508  1 C 1.29
O 0.6449 0.9448 0.8326  1 C 1.31
O 0.8122 0.8907 0.4268  2 H 1.00-1.01
O 0.8207 0.5569 0.9917  1 C 1.31
O 0.8217 0.3918 0.1492  1 C 1.29
O 0.8907 0.8122 0.9268  2 H 1.00-1.01
O 0.9448 0.6449 0.3326  1 C 1.31

The raw total energy comes out at -235.57 eV/cell. Its space group is No. 15.